(1)
A relaxed structure of CdAsPd14. Source: Alexandria via LeMat-Bulk, functional PBE-GGA.

Computed properties:
ΔH_f (0 K)	-2.1	kcal/mol of atoms

Unit cell a=9.121 b=5.828 c=9.462 alpha=90.00 beta=90.00 gamma=90.00
Space group Amm2 (No. 38)
One atom of each set of equivalent atoms:
Cd  0.000  0.000  0.000 (multiplicity 2)
As  0.000  0.000  0.537 (multiplicity 2)
Pd  0.000  0.243  0.257 (multiplicity 4)
Pd  0.243  0.240  0.559 (multiplicity 8)
Pd  0.253  0.000  0.813 (multiplicity 4)
Pd  0.255  0.000  0.305 (multiplicity 4)
Pd  0.500  0.000  0.124 (multiplicity 2)
Pd  0.500  0.000  0.630 (multiplicity 2)
Pd  0.500  0.247  0.379 (multiplicity 4)


(2)
A relaxed structure of MnMo2W. Source: Alexandria via LeMat-Bulk, functional PBE-GGA.

Computed properties:
ΔH_f (0 K)	5.7	kcal/mol of atoms

Unit cell a=2.722 b=2.722 c=8.037 alpha=90.00 beta=90.00 gamma=90.00
Space group P4mm (No. 99)
One atom of each set of equivalent atoms:
Mn  0.000  0.000  0.000 (multiplicity 1)
Mo  0.000  0.000  0.497 (multiplicity 1)
Mo  0.500  0.500  0.215 (multiplicity 1)
W  0.500  0.500  0.779 (multiplicity 1)


(3)
A relaxed structure of BaPIO2. Source: Alexandria via LeMat-Bulk, functional PBE-GGA.

Computed properties:
raw formation energy	70	meV/atom

Unit cell a=4.462 b=4.462 c=8.126 alpha=90.00 beta=90.00 gamma=90.00
Space group P4/mmm (No. 123)
One atom of each set of equivalent atoms:
Ba  0.000  0.000  0.000 (multiplicity 1)
P  0.000  0.000  0.500 (multiplicity 1)
I  0.500  0.500  0.500 (multiplicity 1)
O  0.000  0.500  0.000 (multiplicity 2)


(4)
A relaxed structure of Ag2Mo. Source: Alexandria via LeMat-Bulk, functional PBE-GGA.

Computed properties:
ΔH_f (0 K)	9.1	kcal/mol of atoms

Unit cell a=6.057 b=3.154 c=11.181 alpha=90.00 beta=90.00 gamma=90.00
Space group Pnma (No. 62)
One atom of each set of equivalent atoms:
Ag  0.097  0.250  0.089 (multiplicity 4)
Ag  0.142  0.250  0.745 (multiplicity 4)
Mo  0.098  0.250  0.441 (multiplicity 4)


(5)
A relaxed structure of Ta4Nb4Ru. Source: Alexandria via LeMat-Bulk, functional PBE-GGA.

Computed properties:
ΔH_f (0 K)	-3.7	kcal/mol of atoms

Unit cell a=9.832 b=9.832 c=3.279 alpha=90.00 beta=90.00 gamma=90.00
Space group I4/mmm (No. 139)
One atom of each set of equivalent atoms:
Ta  0.163  0.163  0.000 (multiplicity 8)
Nb  0.000  0.332  0.500 (multiplicity 8)
Ru  0.000  0.000  0.500 (multiplicity 2)


(6)
A relaxed structure of LaPdS2N. Source: Alexandria via LeMat-Bulk, functional PBE-GGA.

Computed properties:
raw formation energy	-468	meV/atom

Unit cell a=4.898 b=4.898 c=3.883 alpha=90.00 beta=90.00 gamma=90.00
Space group P4/mmm (No. 123)
One atom of each set of equivalent atoms:
La  0.000  0.000  0.000 (multiplicity 1)
Pd  0.500  0.500  0.500 (multiplicity 1)
S  0.000  0.500  0.500 (multiplicity 2)
N  0.500  0.500  0.000 (multiplicity 1)


(7)
A relaxed structure of CaAcCd2Ag2. Source: Alexandria via LeMat-Bulk, functional PBE-GGA.

Computed properties:
ΔH_f (0 K)	-7.3	kcal/mol of atoms

Unit cell a=4.9615 b=4.9615 c=7.5016 alpha=90.00 beta=90.00 gamma=120.00
Space group P-3m1 (No. 164)
One atom of each set of equivalent atoms:
Ca  0.0000  0.0000  0.0000 (multiplicity 1)
Ac  0.0000  0.0000  0.5000 (multiplicity 1)
Cd  0.3333  0.6667  0.7808 (multiplicity 2)
Ag  0.3333  0.6667  0.2269 (multiplicity 2)


(8)
A relaxed structure of NaScC. Source: Alexandria via LeMat-Bulk, functional PBE-GGA.

Computed properties:
ΔH_f (0 K)	3.3	kcal/mol of atoms

Unit cell a=4.142 b=4.319 c=7.559 alpha=90.00 beta=94.77 gamma=90.00
Space group Pm (No. 6)
One atom of each set of equivalent atoms:
Na  0.000  0.000  0.000 (multiplicity 1)
Na  0.468  0.500  0.727 (multiplicity 1)
Sc  0.452  0.500  0.264 (multiplicity 1)
Sc  0.940  0.000  0.462 (multiplicity 1)
C  0.373  0.000  0.336 (multiplicity 1)
C  0.599  0.000  0.212 (multiplicity 1)